(1)
# Pm2Pr2Ho3 (PBE, relaxed)
data_Pm2Pr2Ho3
_chemical_formula_sum 'Pm4 Pr4 Ho6'
_symmetry_space_group_name_H-M 'C 1 2/m 1'
_symmetry_Int_Tables_number 12
_cell_length_a 17.009
_cell_length_b 3.520
_cell_length_c 8.849
_cell_angle_alpha 90.00
_cell_angle_beta 116.65
_cell_angle_gamma 90.00
loop_
_symmetry_equiv_pos_as_xyz
'x,y,z'
'-x,-y,-z'
'-x,y,-z'
'x,-y,z'
'x+1/2,y+1/2,z'
'-x+1/2,-y+1/2,-z'
'-x+1/2,y+1/2,-z'
'x+1/2,-y+1/2,z'
loop_
_atom_site_label
_atom_site_type_symbol
_atom_site_fract_x
_atom_site_fract_y
_atom_site_fract_z
Pm1 Pm 0.140 0.000 0.406
Pr1 Pr 0.080 0.500 0.705
Ho1 Ho 0.000 0.500 0.000
Ho2 Ho 0.220 0.500 0.144
# Energy above the most stable polymorph in this dataset   0 meV/atom
# ΔE_f   0.92 eV/f.u.

=====

(2)
# TaNb2Cu (PBE, relaxed)
data_TaNb2Cu
_chemical_formula_sum 'Ta1 Nb2 Cu1'
_symmetry_space_group_name_H-M 'P 4/m m m'
_symmetry_Int_Tables_number 123
_symmetry_space_group_name_Hall '-P 4 2'
_cell_length_a 3.343
_cell_length_b 3.343
_cell_length_c 6.031
_cell_angle_alpha 90.00
_cell_angle_beta 90.00
_cell_angle_gamma 90.00
loop_
_atom_site_label
_atom_site_type_symbol
_atom_site_fract_x
_atom_site_fract_y
_atom_site_fract_z
Ta1 Ta 0.000 0.000 0.000
Nb1 Nb 0.500 0.500 0.258
Cu1 Cu 0.000 0.000 0.500
# Energy above the most stable polymorph in this dataset   0 meV/atom
# ΔE_f   0.24 eV/f.u.

=====

(3)
# TcHCNO (PBE, relaxed)
data_TcHCNO
_chemical_formula_sum 'Tc2 H2 C2 N2 O2'
_symmetry_space_group_name_H-M 'C 1 m 1'
_symmetry_Int_Tables_number 8
_cell_length_a 6.451
_cell_length_b 2.784
_cell_length_c 6.432
_cell_angle_alpha 90.00
_cell_angle_beta 117.89
_cell_angle_gamma 90.00
loop_
_symmetry_equiv_pos_as_xyz
'x,y,z'
'x,-y,z'
'x+1/2,y+1/2,z'
'x+1/2,-y+1/2,z'
loop_
_atom_site_label
_atom_site_type_symbol
_atom_site_fract_x
_atom_site_fract_y
_atom_site_fract_z
Tc1 Tc 0.000 0.000 0.000
H1 H 0.357 0.000 0.575
C1 C 0.380 0.000 0.168
N1 N 0.311 0.000 0.322
O1 O 0.361 0.000 0.741
# Energy above the most stable polymorph in this dataset   137 meV/atom

=====

(4)
# SrMg4In2Pd (PBE, relaxed)
data_SrMg4In2Pd
_chemical_formula_sum 'Sr3 Mg12 In6 Pd3'
_symmetry_space_group_name_H-M 'R -3 m'
_symmetry_Int_Tables_number 166
_symmetry_space_group_name_Hall '-R 3 2"'
_cell_length_a 4.8812
_cell_length_b 4.8812
_cell_length_c 28.6785
_cell_angle_alpha 90.00
_cell_angle_beta 90.00
_cell_angle_gamma 120.00
loop_
_atom_site_label
_atom_site_type_symbol
_atom_site_fract_x
_atom_site_fract_y
_atom_site_fract_z
Sr1 Sr 0.0000 0.0000 0.0000
Mg1 Mg 0.0000 0.0000 0.1399
Mg2 Mg 0.0000 0.0000 0.4098
In1 In 0.0000 0.0000 0.2523
Pd1 Pd 0.0000 0.0000 0.5000
# ΔE_f   -2.22 eV/f.u.

=====

(5)
# RbCaBeS2 (PBE, relaxed)
data_RbCaBeS2
_chemical_formula_sum 'Rb2 Ca2 Be2 S4'
_symmetry_space_group_name_H-M 'P 1 2/c 1'
_symmetry_Int_Tables_number 13
_cell_length_a 7.525
_cell_length_b 4.720
_cell_length_c 8.217
_cell_angle_alpha 90.00
_cell_angle_beta 101.33
_cell_angle_gamma 90.00
loop_
_symmetry_equiv_pos_as_xyz
'x,y,z'
'-x,-y,-z'
'-x,y,-z+1/2'
'x,-y,z+1/2'
loop_
_atom_site_label
_atom_site_type_symbol
_atom_site_fract_x
_atom_site_fract_y
_atom_site_fract_z
Rb1 Rb 0.000 0.212 0.250
Ca1 Ca 0.500 0.489 0.750
Be1 Be 0.500 0.000 0.000
S1 S 0.292 0.259 0.965
# E_form (uncorrected)   -0.987 eV/atom

=====

(6)
# Pr2NdI6 (PBE, relaxed)
data_Pr2NdI6
_chemical_formula_sum 'Pr4 Nd2 I12'
_symmetry_space_group_name_H-M 'P 42/m n m'
_symmetry_Int_Tables_number 136
_symmetry_space_group_name_Hall '-P 4n 2n'
_cell_length_a 8.060
_cell_length_b 8.060
_cell_length_c 12.163
_cell_angle_alpha 90.00
_cell_angle_beta 90.00
_cell_angle_gamma 90.00
loop_
_atom_site_label
_atom_site_type_symbol
_atom_site_fract_x
_atom_site_fract_y
_atom_site_fract_z
Pr1 Pr 0.000 0.000 0.165
Nd1 Nd 0.000 0.000 0.500
I1 I 0.216 0.216 0.334
I2 I 0.219 0.219 0.000
# Energy above the most stable polymorph in this dataset   105 meV/atom
# E_form (uncorrected)   -1.195 eV/atom

=====

(7)
# PmTmMg2 (PBE, relaxed)
data_PmTmMg2
_chemical_formula_sum 'Pm4 Tm4 Mg8'
_symmetry_space_group_name_H-M 'F m -3 m'
_symmetry_Int_Tables_number 225
_symmetry_space_group_name_Hall '-F 4 2 3'
_cell_length_a 7.610
_cell_length_b 7.610
_cell_length_c 7.610
_cell_angle_alpha 90.00
_cell_angle_beta 90.00
_cell_angle_gamma 90.00
loop_
_atom_site_label
_atom_site_type_symbol
_atom_site_fract_x
_atom_site_fract_y
_atom_site_fract_z
Pm1 Pm 0.000 0.000 0.000
Tm1 Tm 0.000 0.000 0.500
Mg1 Mg 0.250 0.250 0.250
# Energy above the most stable polymorph in this dataset   0 meV/atom
# ΔE_f   -0.35 eV/f.u.

=====

(8)
# Hf2VRh (PBE, relaxed)
data_Hf2VRh
_chemical_formula_sum 'Hf2 V1 Rh1'
_symmetry_space_group_name_H-M 'P 4/m m m'
_symmetry_Int_Tables_number 123
_symmetry_space_group_name_Hall '-P 4 2'
_cell_length_a 3.252
_cell_length_b 3.252
_cell_length_c 6.622
_cell_angle_alpha 90.00
_cell_angle_beta 90.00
_cell_angle_gamma 90.00
loop_
_atom_site_label
_atom_site_type_symbol
_atom_site_fract_x
_atom_site_fract_y
_atom_site_fract_z
Hf1 Hf 0.000 0.000 0.249
V1 V 0.500 0.500 0.500
Rh1 Rh 0.500 0.500 0.000
# Energy above the most stable polymorph in this dataset   0 meV/atom
# ΔE_f   -1.74 eV/f.u.

=====

(9)
# DyTm5Cd4 (PBE, relaxed)
data_DyTm5Cd4
_chemical_formula_sum 'Dy1 Tm5 Cd4'
_symmetry_space_group_name_H-M 'P 4/m m m'
_symmetry_Int_Tables_number 123
_symmetry_space_group_name_Hall '-P 4 2'
_cell_length_a 3.623
_cell_length_b 3.623
_cell_length_c 20.250
_cell_angle_alpha 90.00
_cell_angle_beta 90.00
_cell_angle_gamma 90.00
loop_
_atom_site_label
_atom_site_type_symbol
_atom_site_fract_x
_atom_site_fract_y
_atom_site_fract_z
Dy1 Dy 0.000 0.000 0.000
Tm1 Tm 0.500 0.500 0.120
Tm2 Tm 0.500 0.500 0.313
Tm3 Tm 0.500 0.500 0.500
Cd1 Cd 0.000 0.000 0.217
Cd2 Cd 0.000 0.000 0.405
# ΔE_f   -2.35 eV/f.u.

=====

(10)
# Na2Zn3Ge2 (PBE, relaxed)
data_Na2Zn3Ge2
_chemical_formula_sum 'Na4 Zn6 Ge4'
_symmetry_space_group_name_H-M 'C 1 2/m 1'
_symmetry_Int_Tables_number 12
_cell_length_a 10.409
_cell_length_b 4.276
_cell_length_c 6.697
_cell_angle_alpha 90.00
_cell_angle_beta 103.85
_cell_angle_gamma 90.00
loop_
_symmetry_equiv_pos_as_xyz
'x,y,z'
'-x,-y,-z'
'-x,y,-z'
'x,-y,z'
'x+1/2,y+1/2,z'
'-x+1/2,-y+1/2,-z'
'-x+1/2,y+1/2,-z'
'x+1/2,-y+1/2,z'
loop_
_atom_site_label
_atom_site_type_symbol
_atom_site_fract_x
_atom_site_fract_y
_atom_site_fract_z
Na1 Na 0.120 0.000 0.360
Zn1 Zn 0.000 0.500 0.000
Zn2 Zn 0.200 0.000 0.893
Ge1 Ge 0.105 0.500 0.707
# ΔE_f   -0.30 eV/f.u.

=====

(11)
# DyInHgRh (PBE, relaxed)
data_DyInHgRh
_chemical_formula_sum 'Dy4 In4 Hg4 Rh4'
_symmetry_space_group_name_H-M 'F -4 3 m'
_symmetry_Int_Tables_number 216
_symmetry_space_group_name_Hall 'F -4 2 3'
_cell_length_a 6.952
_cell_length_b 6.952
_cell_length_c 6.952
_cell_angle_alpha 90.00
_cell_angle_beta 90.00
_cell_angle_gamma 90.00
loop_
_atom_site_label
_atom_site_type_symbol
_atom_site_fract_x
_atom_site_fract_y
_atom_site_fract_z
Dy1 Dy 0.000 0.000 0.000
In1 In 0.000 0.000 0.500
Hg1 Hg 0.250 0.250 0.250
Rh1 Rh 0.250 0.250 0.750
# ΔE_f   -1.68 eV/f.u.

=====

(12)
# Sc2CrSi (PBE, relaxed)
data_Sc2CrSi
_chemical_formula_sum 'Sc2 Cr1 Si1'
_symmetry_space_group_name_H-M 'P 4/m m m'
_symmetry_Int_Tables_number 123
_symmetry_space_group_name_Hall '-P 4 2'
_cell_length_a 3.377
_cell_length_b 3.377
_cell_length_c 6.178
_cell_angle_alpha 90.00
_cell_angle_beta 90.00
_cell_angle_gamma 90.00
loop_
_atom_site_label
_atom_site_type_symbol
_atom_site_fract_x
_atom_site_fract_y
_atom_site_fract_z
Sc1 Sc 0.000 0.000 0.250
Cr1 Cr 0.500 0.500 0.000
Si1 Si 0.500 0.500 0.500
# E_form (uncorrected)   -0.179 eV/atom

=====

no.,total moment (μB/f.u.),electronic total energy (hartree per atom)
1,0.000,-0.1673
2,0.000,-0.3293
3,1.013,-0.2682
4,0.000,-0.0963
5,0.911,-0.1461
6,0.465,-0.1404
7,0.000,-0.1173
8,0.555,-0.3502
9,0.000,-0.1211
10,0.000,-0.0840
11,0.000,-0.1532
12,1.985,-0.2612